YSbIrOs2: optimized geometry, PBE.

a b c (Å): 4.750 4.750 5.385
angles (deg): 90.00 90.00 90.00
Element x y z (fractional)
Os 0.000 0.500 0.000
Y 0.000 0.000 0.500
Os 0.500 0.000 0.000
Ir 0.500 0.500 0.500
Sb 0.000 0.000 0.000

- Final energy: -0.473 Ry per atom
- Spin magnetization: 0.000 μB per atom
- Energy relative to the elements, uncorrected: 1.948 eV/atom